Density functional theory data (PBE-GGA) for crystalline Pm4DyEr15 at its relaxed geometry.

Values from the calculation:
**Magnetic moment**: 0.00 μB/f.u.
**Fermi-level density of states**: 1.342 states/eV/atom
**Energy of formation from the pure elements**: 0.022 eV/atom

Lattice parameters (Å, degrees): 5.0054 5.0054 24.9462 90.00 90.00 90.00
Fractional positions:
Er 0.5000 0.5000 0.3999
Er 0.5000 0.0000 0.7004
Er 0.5000 0.0000 0.0989
Dy 0.0000 0.0000 0.0000
Er 0.0000 0.5000 0.2996
Pm 0.0000 0.0000 0.3998
Er 0.5000 0.5000 0.8008
Er 0.5000 0.0000 0.5000
Pm 0.0000 0.0000 0.6002
Er 0.5000 0.5000 0.0000
Er 0.5000 0.5000 0.6001
Er 0.0000 0.5000 0.9011
Er 0.5000 0.0000 0.2996
Er 0.0000 0.5000 0.7004
Pm 0.0000 0.0000 0.1995
Pm 0.0000 0.0000 0.8005
Er 0.5000 0.0000 0.9011
Er 0.0000 0.5000 0.5000
Er 0.0000 0.5000 0.0989
Er 0.5000 0.5000 0.1992

=====

Density functional theory data (PBE-GGA) for crystalline Pm4DyEr6 at its relaxed geometry.

Values from the calculation:
**Magnetic moment**: 0.00 μB/f.u.
**Fermi-level density of states**: 1.242 states/eV/atom
**Energy of formation from the pure elements**: 0.301 eV/atom

Lattice parameters (Å, degrees): 9.6623 9.6623 9.6623 57.93 139.95 139.95
Fractional positions:
Er 0.0000 0.8040 0.4473
Pm 0.0000 0.0142 0.6357
Pm 0.0000 0.6357 0.0142
Er 0.0000 0.4473 0.8040
Er 0.5000 0.0000 0.5000
Dy 0.0000 0.0000 0.0000
Pm 0.3785 0.3643 0.3643
Pm 0.6215 0.9858 0.9858
Er 0.6433 0.1960 0.1960
Er 0.3567 0.5527 0.5527
Er 0.5000 0.5000 0.0000

=====

Density functional theory data (PBE-GGA) for crystalline Pm2Dy2Er at its relaxed geometry.

Values from the calculation:
**Magnetic moment**: 0.01 μB/f.u.
**Fermi-level density of states**: 1.745 states/eV/atom
**Energy of formation from the pure elements**: 0.074 eV/atom

Lattice parameters (Å, degrees): 6.1202 9.8826 8.6335 42.28 69.24 71.96
Fractional positions:
Dy 0.9831 0.6467 0.5426
Dy 0.1724 0.8533 0.9574
Pm 0.6427 0.4222 0.1865
Pm 0.7487 0.9222 0.6865
Er 0.5733 0.7500 0.2500
Pm 0.3573 0.5778 0.8135
Dy 0.0169 0.3533 0.4574
Pm 0.2513 0.0778 0.3135
Er 0.4267 0.2500 0.7500
Dy 0.8276 0.1467 0.0426

=====

Density functional theory data (PBE-GGA) for crystalline Pm12DyEr2 at its relaxed geometry.

Values from the calculation:
**Magnetic moment**: 0.00 μB/f.u.
**Fermi-level density of states**: 1.394 states/eV/atom
**Energy of formation from the pure elements**: 0.361 eV/atom

Lattice parameters (Å, degrees): 6.5692 6.5692 24.9732 90.00 90.00 90.00
Fractional positions:
Pm 0.7504 0.2504 0.1101
Pm 0.7504 0.7496 0.8899
Pm 0.2504 0.2496 0.1101
Pm 0.3325 0.1675 0.5626
Pm 0.6675 0.1675 0.4374
Dy 0.5000 0.0000 0.0000
Pm 0.1675 0.6675 0.5626
Pm 0.3325 0.8325 0.4374
Pm 0.5000 0.5000 0.6679
Pm 0.2496 0.2504 0.8899
Pm 0.5000 0.5000 0.3321
Pm 0.6675 0.8325 0.5626
Pm 0.7496 0.7504 0.1101
Pm 0.5000 0.5000 0.7902
Er 0.5000 0.0000 0.7495
Er 0.0000 0.5000 0.7495
Pm 0.0000 0.0000 0.3321
Pm 0.5000 0.5000 0.2098
Pm 0.2496 0.7496 0.1101
Pm 0.8325 0.6675 0.4374
Pm 0.0000 0.0000 0.7902
Pm 0.8325 0.3325 0.5626
Er 0.0000 0.5000 0.2505
Pm 0.0000 0.0000 0.2098
Pm 0.1675 0.3325 0.4374
Pm 0.0000 0.0000 0.6679
Pm 0.2504 0.7504 0.8899
Pm 0.7496 0.2496 0.8899
Dy 0.0000 0.5000 0.0000
Er 0.5000 0.0000 0.2505

=====

Density functional theory data (PBE-GGA) for crystalline PmDy2Er at its relaxed geometry.

Values from the calculation:
**Magnetic moment**: 0.00 μB/f.u.
**Fermi-level density of states**: 2.377 states/eV/atom
**Energy of formation from the pure elements**: 0.144 eV/atom

Lattice parameters (Å, degrees): 5.6755 5.6755 5.6755 60.00 60.00 60.00
Fractional positions:
Pm 0.0000 0.0000 0.0000
Dy 0.2500 0.2500 0.2500
Er 0.5000 0.5000 0.5000
Dy 0.7500 0.7500 0.7500

=====

Density functional theory data (PBE-GGA) for crystalline PmDy2Er4 at its relaxed geometry.

Values from the calculation:
**Magnetic moment**: 0.00 μB/f.u.
**Fermi-level density of states**: 1.482 states/eV/atom
**Energy of formation from the pure elements**: 0.036 eV/atom

Lattice parameters (Å, degrees): 3.5098 9.3767 8.4652 121.63 78.05 111.96
Fractional positions:
Er 0.4109 0.7060 0.5889
Pm 0.0000 0.0000 0.0000
Er 0.1915 0.8353 0.2860
Er 0.5891 0.2940 0.4111
Dy 0.3600 0.4297 0.1401
Er 0.8085 0.1647 0.7140
Dy 0.6400 0.5703 0.8599

=====

Density functional theory data (PBE-GGA) for crystalline Pm3Dy4Er5 at its relaxed geometry.

Values from the calculation:
**Magnetic moment**: 0.00 μB/f.u.
**Fermi-level density of states**: 1.284 states/eV/atom
**Energy of formation from the pure elements**: 0.018 eV/atom

Lattice parameters (Å, degrees): 7.1052 11.2278 12.8059 151.29 56.41 129.22
Fractional positions:
Pm 0.5836 0.1670 0.3336
Dy 0.0821 0.1650 0.3320
Er 0.5000 0.0000 0.5000
Er 0.3322 0.6674 0.8351
Er 0.6678 0.3326 0.1649
Er 0.2505 0.4989 0.9990
Dy 0.1677 0.3345 0.1667
Pm 0.0000 0.0000 0.5000
Er 0.7495 0.5011 0.0010
Dy 0.8323 0.6655 0.8333
Dy 0.9179 0.8350 0.6680
Pm 0.4164 0.8330 0.6664

=====

Density functional theory data (PBE-GGA) for crystalline Pm8DyEr5 at its relaxed geometry.

Values from the calculation:
**Magnetic moment**: 0.00 μB/f.u.
**Fermi-level density of states**: 1.479 states/eV/atom
**Energy of formation from the pure elements**: 0.253 eV/atom

Lattice parameters (Å, degrees): 8.5236 8.5236 8.5236 111.15 106.16 111.15
Fractional positions:
Er 0.8690 0.9045 0.1826
Pm 0.6648 0.3956 0.9229
Pm 0.0771 0.7420 0.4727
Pm 0.7308 0.2580 0.3352
Pm 0.1638 0.7336 0.0760
Pm 0.5698 0.9122 0.8362
Pm 0.9240 0.0878 0.6576
Dy 0.2500 0.5000 0.7500
Er 0.5000 0.0000 0.5000
Pm 0.5273 0.6044 0.2692
Er 0.2781 0.0955 0.9645
Pm 0.3424 0.2664 0.4302
Er 0.0355 0.3136 0.1310
Er 0.8174 0.6864 0.7219

=====

Density functional theory data (PBE-GGA) for crystalline PmDyEr4 at its relaxed geometry.

Values from the calculation:
**Magnetic moment**: 0.00 μB/f.u.
**Fermi-level density of states**: 1.652 states/eV/atom
**Energy of formation from the pure elements**: 0.077 eV/atom

Lattice parameters (Å, degrees): 3.4491 6.5730 9.6903 90.00 90.00 121.60
Fractional positions:
Pm 0.9973 0.0013 0.5019
Er 0.9972 0.5013 0.3332
Er 0.4972 0.0013 0.8369
Er 0.9973 0.5013 0.6705
Dy 0.4973 0.5013 0.0019
Er 0.4973 0.0013 0.1668

=====

Density functional theory data (PBE-GGA) for crystalline PmDy6Er4 at its relaxed geometry.

Values from the calculation:
**Magnetic moment**: 0.00 μB/f.u.
**Fermi-level density of states**: 1.813 states/eV/atom
**Energy of formation from the pure elements**: 0.125 eV/atom

Lattice parameters (Å, degrees): 5.6816 5.5751 25.5706 90.00 90.00 120.63
Fractional positions:
Dy 0.1398 0.2797 0.1806
Pm 0.8096 0.6193 0.2500
Er 0.8437 0.6875 0.5422
Er 0.4689 0.9378 0.1214
Dy 0.8079 0.6159 0.1018
Dy 0.1398 0.2797 0.3194
Er 0.1563 0.3125 0.0422
Dy 0.1921 0.3841 0.6018
Er 0.1563 0.3125 0.4578
Er 0.5311 0.0622 0.8786
Pm 0.1904 0.3807 0.7500
Er 0.5311 0.0622 0.6214
Dy 0.5248 0.0495 0.7500
Dy 0.1921 0.3841 0.8982
Dy 0.8079 0.6159 0.3982
Dy 0.8602 0.7203 0.6806
Dy 0.4752 0.9505 0.2500
Dy 0.5000 0.0000 0.0000
Dy 0.8602 0.7203 0.8194
Dy 0.5000 0.0000 0.5000
Er 0.8437 0.6875 0.9578
Er 0.4689 0.9378 0.3786

=====

Density functional theory data (PBE-GGA) for crystalline Pm3Dy4Er at its relaxed geometry.

Values from the calculation:
**Magnetic moment**: 0.00 μB/f.u.
**Fermi-level density of states**: 1.388 states/eV/atom
**Energy of formation from the pure elements**: 0.017 eV/atom

Lattice parameters (Å, degrees): 3.5783 6.1848 12.9154 66.30 82.06 90.06
Fractional positions:
Pm 0.3750 0.6257 0.2501
Dy 0.7498 0.2497 0.5006
Pm 0.6250 0.3743 0.7499
Dy 0.1258 0.8752 0.7482
Pm 0.5000 0.5000 0.0000
Dy 0.8742 0.1248 0.2518
Er 0.0000 0.0000 0.0000
Dy 0.2502 0.7503 0.4994

=====

Density functional theory data (PBE-GGA) for crystalline Pm3DyEr7 at its relaxed geometry.

Values from the calculation:
**Magnetic moment**: 0.31 μB/f.u.
**Fermi-level density of states**: 1.374 states/eV/atom
**Energy of formation from the pure elements**: 0.277 eV/atom

Lattice parameters (Å, degrees): 5.8024 8.3900 8.3900 83.35 110.22 110.22
Fractional positions:
Pm 0.0000 0.2123 0.7877
Er 0.2061 0.2059 0.2059
Er 0.2927 0.9888 0.5967
Er 0.0000 0.5000 0.5000
Pm 0.0000 0.7877 0.2123
Er 0.2927 0.5967 0.9888
Pm 0.5000 0.0000 0.0000
Dy 0.5000 0.5000 0.5000
Er 0.7073 0.4033 0.0112
Er 0.7939 0.7941 0.7941
Er 0.7073 0.0112 0.4033

=====

Density functional theory data (PBE-GGA) for crystalline Pm5Dy6Er2 at its relaxed geometry.

Values from the calculation:
**Magnetic moment**: 0.00 μB/f.u.
**Fermi-level density of states**: 1.197 states/eV/atom
**Energy of formation from the pure elements**: 0.094 eV/atom

Lattice parameters (Å, degrees): 3.5887 11.6388 20.4985 90.00 90.00 90.00
Fractional positions:
Dy 0.5000 0.3255 0.1384
Pm 0.5000 0.8014 0.0512
Dy 0.5000 0.1745 0.6384
Dy 0.0000 0.4391 0.5812
Pm 0.5000 0.4152 0.7272
Dy 0.0000 0.9391 0.9188
Dy 0.5000 0.8255 0.3616
Pm 0.5000 0.5000 0.0000
Dy 0.0000 0.4189 0.8683
Dy 0.5000 0.6745 0.8616
Er 0.0000 0.6707 0.7103
Er 0.0000 0.1707 0.7897
Pm 0.5000 0.9152 0.7728
Dy 0.0000 0.9189 0.6317
Pm 0.5000 0.5848 0.2728
Er 0.0000 0.8293 0.2103
Pm 0.5000 0.0848 0.2272
Pm 0.5000 0.1986 0.9488
Pm 0.5000 0.0000 0.5000
Dy 0.0000 0.5811 0.1316
Dy 0.0000 0.0811 0.3683
Pm 0.5000 0.6986 0.5512
Er 0.0000 0.3293 0.2897
Dy 0.0000 0.5609 0.4188
Dy 0.0000 0.0609 0.0812
Pm 0.5000 0.3014 0.4488

=====

Density functional theory data (PBE-GGA) for crystalline Pm4Dy5Er3 at its relaxed geometry.

Values from the calculation:
**Magnetic moment**: 0.50 μB/f.u.
**Fermi-level density of states**: 1.653 states/eV/atom
**Energy of formation from the pure elements**: 0.231 eV/atom

Lattice parameters (Å, degrees): 5.9051 8.5729 9.6580 105.66 72.20 69.85
Fractional positions:
Dy 0.6306 0.9411 0.7976
Dy 0.5000 0.5000 0.5000
Dy 0.3694 0.0589 0.2024
Pm 0.1648 0.0511 0.6193
Pm 0.8352 0.9489 0.3807
Er 0.5230 0.6882 0.2658
Dy 0.7867 0.5416 0.8850
Dy 0.2133 0.4584 0.1150
Er 0.0000 0.5000 0.5000
Pm 0.1388 0.7780 0.9445
Pm 0.8612 0.2220 0.0555
Er 0.4770 0.3118 0.7342

=====

Density functional theory data (PBE-GGA) for crystalline PmDyEr at its relaxed geometry.

Values from the calculation:
**Magnetic moment**: 0.00 μB/f.u.
**Fermi-level density of states**: 1.205 states/eV/atom
**Energy of formation from the pure elements**: 0.237 eV/atom

Lattice parameters (Å, degrees): 4.8502 4.8502 8.6186 90.00 90.00 90.00
Fractional positions:
Dy 0.0000 0.5000 0.6976
Pm 0.0000 0.0000 0.0000
Pm 0.5000 0.5000 0.0000
Dy 0.5000 0.0000 0.3024
Er 0.5000 0.0000 0.6992
Er 0.0000 0.5000 0.3008

=====

Density functional theory data (PBE-GGA) for crystalline Pm2Dy12Er5 at its relaxed geometry.

Values from the calculation:
**Magnetic moment**: 0.00 μB/f.u.
**Fermi-level density of states**: 1.419 states/eV/atom
**Energy of formation from the pure elements**: 0.019 eV/atom

Lattice parameters (Å, degrees): 6.1356 11.1954 15.4437 142.92 109.37 79.50
Fractional positions:
Dy 0.2100 0.3186 0.0795
Dy 0.5268 0.7904 0.4475
Er 0.5788 0.3706 0.3440
Dy 0.4732 0.2096 0.5525
Dy 0.9464 0.4189 0.6040
Er 0.1584 0.7374 0.1847
Dy 0.8946 0.8411 0.7088
Pm 0.7361 0.1064 0.0263
Er 0.4212 0.6294 0.6560
Pm 0.2639 0.8936 0.9737
Dy 0.3672 0.0522 0.7616
Er 0.0000 0.0000 0.5000
Dy 0.7900 0.6814 0.9205
Dy 0.3155 0.4716 0.8679
Er 0.8416 0.2626 0.8153
Dy 0.6328 0.9478 0.2384
Dy 0.1054 0.1589 0.2912
Dy 0.6845 0.5284 0.1321
Dy 0.0536 0.5811 0.3960

=====

Density functional theory data (PBE-GGA) for crystalline Pm3Dy5Er4 at its relaxed geometry.

Values from the calculation:
**Magnetic moment**: 0.21 μB/f.u.
**Fermi-level density of states**: 1.599 states/eV/atom
**Energy of formation from the pure elements**: 0.239 eV/atom

Lattice parameters (Å, degrees): 5.8885 8.5096 9.6307 106.00 72.20 69.76
Fractional positions:
Pm 0.5213 0.6866 0.2709
Pm 0.0000 0.5000 0.5000
Dy 0.5000 0.5000 0.5000
Er 0.8336 0.9566 0.3761
Er 0.8596 0.2215 0.0592
Dy 0.2155 0.4574 0.1115
Dy 0.7845 0.5426 0.8885
Er 0.1404 0.7785 0.9408
Dy 0.3770 0.0488 0.1972
Er 0.1664 0.0434 0.6239
Pm 0.4787 0.3134 0.7291
Dy 0.6230 0.9512 0.8028

=====

Density functional theory data (PBE-GGA) for crystalline Pm3Dy2Er5 at its relaxed geometry.

Values from the calculation:
**Magnetic moment**: 0.00 μB/f.u.
**Fermi-level density of states**: 1.711 states/eV/atom
**Energy of formation from the pure elements**: 0.343 eV/atom

Lattice parameters (Å, degrees): 6.2865 11.0373 11.0373 99.17 73.45 73.45
Fractional positions:
Er 0.9018 0.4426 0.7539
Er 0.5032 0.7468 0.7468
Er 0.5982 0.2461 0.5574
Pm 0.2500 0.0000 0.0000
Pm 0.6578 0.5955 0.0889
Pm 0.3422 0.4045 0.9111
Er 0.7500 0.5000 0.5000
Er 0.0982 0.5574 0.2461
Er 0.9968 0.2532 0.2532
Er 0.4968 0.2532 0.2532
Dy 0.8966 0.2595 0.9473
Pm 0.1578 0.0889 0.5955
Er 0.0032 0.7468 0.7468
Dy 0.1034 0.7405 0.0527
Dy 0.6034 0.0527 0.7405
Er 0.2500 0.5000 0.5000
Dy 0.3966 0.9473 0.2595
Er 0.4018 0.7539 0.4426
Pm 0.8422 0.9111 0.4045
Pm 0.7500 0.0000 0.0000

=====

Density functional theory data (PBE-GGA) for crystalline PmDy3Er5 at its relaxed geometry.

Values from the calculation:
**Magnetic moment**: 0.00 μB/f.u.
**Fermi-level density of states**: 1.510 states/eV/atom
**Energy of formation from the pure elements**: 0.421 eV/atom

Lattice parameters (Å, degrees): 9.2445 9.2445 12.7323 51.54 51.54 50.79
Fractional positions:
Pm 0.8930 0.8930 0.8710
Er 0.0787 0.4894 0.7805
Dy 0.3062 0.3062 0.3133
Er 0.4429 0.4429 0.4343
Dy 0.0000 0.0000 0.5000
Dy 0.1667 0.1667 0.6586
Er 0.5106 0.9213 0.2195
Er 0.5571 0.5571 0.5657
Er 0.3703 0.3703 0.9288
Er 0.3207 0.6793 0.0000
Dy 0.6938 0.6938 0.6867
Dy 0.0000 0.0000 0.0000
Er 0.4894 0.0787 0.7805
Er 0.6793 0.3207 0.0000
Er 0.6297 0.6297 0.0712
Er 0.9213 0.5106 0.2195
Dy 0.8333 0.8333 0.3414
Pm 0.1070 0.1070 0.1290